# Sr3Zn2Br2O4 PBE optimized geometry
data_Sr3Zn2Br2O4
_cell_length_a 4.1107
_cell_length_b 4.1107
_cell_length_c 24.9271
_cell_angle_alpha 90.00
_cell_angle_beta 90.00
_cell_angle_gamma 90.00
_space_group_name_H-M_alt 'I 4/m m m'
_space_group_IT_number 139
_space_group_name_Hall '-I 4 2'
loop_
_atom_site_label
_atom_site_type_symbol
_atom_site_fract_x
_atom_site_fract_y
_atom_site_fract_z
Sr1 Sr 0.0000 0.0000 0.0000
Sr2 Sr 0.0000 0.0000 0.1340
Zn1 Zn 0.0000 0.0000 0.4268
Br1 Br 0.0000 0.0000 0.3096
O1 O 0.0000 0.5000 0.0698
# Formation energy from raw total energies, eV/atom: -2.048
# Calculated total energy, eV per atom: -4.846

# Sr2ZnBr2O2 PBE optimized geometry
data_Sr2ZnBr2O2
_cell_length_a 4.1198
_cell_length_b 4.1198
_cell_length_c 17.8402
_cell_angle_alpha 90.00
_cell_angle_beta 90.00
_cell_angle_gamma 90.00
_space_group_name_H-M_alt 'I 4/m m m'
_space_group_IT_number 139
_space_group_name_Hall '-I 4 2'
loop_
_atom_site_label
_atom_site_type_symbol
_atom_site_fract_x
_atom_site_fract_y
_atom_site_fract_z
Sr1 Sr 0.0000 0.0000 0.0923
Zn1 Zn 0.0000 0.0000 0.5000
Br1 Br 0.0000 0.0000 0.3302
O1 O 0.0000 0.5000 0.0000
# Formation energy from raw total energies, eV/atom: -2.101
# Calculated total energy, eV per atom: -4.658

# TaBr3O PBE optimized geometry
data_TaBr3O
_cell_length_a 5.0557
_cell_length_b 5.0557
_cell_length_c 5.0557
_cell_angle_alpha 90.00
_cell_angle_beta 90.00
_cell_angle_gamma 90.00
_space_group_name_H-M_alt 'P m -3 m'
_space_group_IT_number 221
_space_group_name_Hall '-P 4 2 3'
loop_
_atom_site_label
_atom_site_type_symbol
_atom_site_fract_x
_atom_site_fract_y
_atom_site_fract_z
Ta1 Ta 0.0000 0.0000 0.0000
Br1 Br 0.0000 0.0000 0.5000
O1 O 0.5000 0.5000 0.5000
# Formation energy from raw total energies, eV/atom: 0.334
# Calculated total energy, eV per atom: -4.032

# TaBr2O PBE optimized geometry
data_TaBr2O
_cell_length_a 3.4059
_cell_length_b 3.4059
_cell_length_c 24.3158
_cell_angle_alpha 90.00
_cell_angle_beta 90.00
_cell_angle_gamma 120.00
_space_group_name_H-M_alt 'R -3 m'
_space_group_IT_number 166
_space_group_name_Hall '-R 3 2"'
loop_
_atom_site_label
_atom_site_type_symbol
_atom_site_fract_x
_atom_site_fract_y
_atom_site_fract_z
Ta1 Ta 0.0000 0.0000 0.0000
Br1 Br 0.0000 0.0000 0.0985
O1 O 0.0000 0.0000 0.5000
# Formation energy from raw total energies, eV/atom: 0.748
# Calculated total energy, eV per atom: -4.291

# Ta3BrO PBE optimized geometry
data_Ta3BrO
_cell_length_a 4.3197
_cell_length_b 4.3197
_cell_length_c 4.3197
_cell_angle_alpha 90.00
_cell_angle_beta 90.00
_cell_angle_gamma 90.00
_space_group_name_H-M_alt 'P m -3 m'
_space_group_IT_number 221
_space_group_name_Hall '-P 4 2 3'
loop_
_atom_site_label
_atom_site_type_symbol
_atom_site_fract_x
_atom_site_fract_y
_atom_site_fract_z
Ta1 Ta 0.0000 0.0000 0.5000
Br1 Br 0.5000 0.5000 0.5000
O1 O 0.0000 0.0000 0.0000
# Formation energy from raw total energies, eV/atom: 0.118
# Calculated total energy, eV per atom: -8.320

# TaBrO2 PBE optimized geometry
data_TaBrO2
_cell_length_a 5.7285
_cell_length_b 5.7285
_cell_length_c 5.7285
_cell_angle_alpha 90.00
_cell_angle_beta 90.00
_cell_angle_gamma 90.00
_space_group_name_H-M_alt 'F m -3 m'
_space_group_IT_number 225
_space_group_name_Hall '-F 4 2 3'
loop_
_atom_site_label
_atom_site_type_symbol
_atom_site_fract_x
_atom_site_fract_y
_atom_site_fract_z
Ta1 Ta 0.0000 0.0000 0.0000
Br1 Br 0.0000 0.0000 0.5000
O1 O 0.2500 0.2500 0.2500
# Formation energy from raw total energies, eV/atom: -0.338
# Calculated total energy, eV per atom: -6.199

# Ta2Br2O PBE optimized geometry
data_Ta2Br2O
_cell_length_a 5.4100
_cell_length_b 5.4100
_cell_length_c 6.7850
_cell_angle_alpha 90.00
_cell_angle_beta 90.00
_cell_angle_gamma 90.00
_space_group_name_H-M_alt 'I 4/m m m'
_space_group_IT_number 139
_space_group_name_Hall '-I 4 2'
loop_
_atom_site_label
_atom_site_type_symbol
_atom_site_fract_x
_atom_site_fract_y
_atom_site_fract_z
Ta1 Ta 0.0000 0.0000 0.2128
Br1 Br 0.0000 0.5000 0.2500
O1 O 0.0000 0.0000 0.5000
# Formation energy from raw total energies, eV/atom: 0.030
# Calculated total energy, eV per atom: -6.371

# TaBr2O PBE optimized geometry
data_TaBr2O
_cell_length_a 6.3728
_cell_length_b 6.3728
_cell_length_c 6.3728
_cell_angle_alpha 90.00
_cell_angle_beta 90.00
_cell_angle_gamma 90.00
_space_group_name_H-M_alt 'F m -3 m'
_space_group_IT_number 225
_space_group_name_Hall '-F 4 2 3'
loop_
_atom_site_label
_atom_site_type_symbol
_atom_site_fract_x
_atom_site_fract_y
_atom_site_fract_z
Ta1 Ta 0.0000 0.0000 0.0000
Br1 Br 0.2500 0.2500 0.2500
O1 O 0.0000 0.0000 0.5000
# Formation energy from raw total energies, eV/atom: 0.300
# Calculated total energy, eV per atom: -4.739

# TaBr3O PBE optimized geometry
data_TaBr3O
_cell_length_a 4.6399
_cell_length_b 4.6399
_cell_length_c 4.6399
_cell_angle_alpha 90.00
_cell_angle_beta 90.00
_cell_angle_gamma 90.00
_space_group_name_H-M_alt 'P m -3 m'
_space_group_IT_number 221
_space_group_name_Hall '-P 4 2 3'
loop_
_atom_site_label
_atom_site_type_symbol
_atom_site_fract_x
_atom_site_fract_y
_atom_site_fract_z
Ta1 Ta 0.0000 0.0000 0.0000
Br1 Br 0.0000 0.5000 0.5000
O1 O 0.5000 0.5000 0.5000
# Formation energy from raw total energies, eV/atom: 1.200
# Calculated total energy, eV per atom: -3.166

# TaBrO2 PBE optimized geometry
data_TaBrO2
_cell_length_a 3.0405
_cell_length_b 3.0405
_cell_length_c 26.1309
_cell_angle_alpha 90.00
_cell_angle_beta 90.00
_cell_angle_gamma 120.00
_space_group_name_H-M_alt 'R -3 m'
_space_group_IT_number 166
_space_group_name_Hall '-R 3 2"'
loop_
_atom_site_label
_atom_site_type_symbol
_atom_site_fract_x
_atom_site_fract_y
_atom_site_fract_z
Ta1 Ta 0.0000 0.0000 0.0000
Br1 Br 0.0000 0.0000 0.5000
O1 O 0.0000 0.0000 0.3756
# Formation energy from raw total energies, eV/atom: -1.606
# Calculated total energy, eV per atom: -7.467

# Ta2Br2O PBE optimized geometry
data_Ta2Br2O
_cell_length_a 5.9965
_cell_length_b 5.9965
_cell_length_c 5.0887
_cell_angle_alpha 90.00
_cell_angle_beta 90.00
_cell_angle_gamma 90.00
_space_group_name_H-M_alt 'P 4/m b m'
_space_group_IT_number 127
_space_group_name_Hall '-P 4 2ab'
loop_
_atom_site_label
_atom_site_type_symbol
_atom_site_fract_x
_atom_site_fract_y
_atom_site_fract_z
Ta1 Ta 0.1901 0.3099 0.0000
Br1 Br 0.1867 0.3133 0.5000
O1 O 0.0000 0.0000 0.0000
# Formation energy from raw total energies, eV/atom: -0.567
# Calculated total energy, eV per atom: -6.969

# TaBrO2 PBE optimized geometry
data_TaBrO2
_cell_length_a 3.0759
_cell_length_b 3.0759
_cell_length_c 23.5614
_cell_angle_alpha 90.00
_cell_angle_beta 90.00
_cell_angle_gamma 120.00
_space_group_name_H-M_alt 'R -3 m'
_space_group_IT_number 166
_space_group_name_Hall '-R 3 2"'
loop_
_atom_site_label
_atom_site_type_symbol
_atom_site_fract_x
_atom_site_fract_y
_atom_site_fract_z
Ta1 Ta 0.0000 0.0000 0.0000
Br1 Br 0.0000 0.0000 0.5000
O1 O 0.0000 0.0000 0.0785
# Formation energy from raw total energies, eV/atom: -0.100
# Calculated total energy, eV per atom: -5.961

# TaBr2O PBE optimized geometry
data_TaBr2O
_cell_length_a 9.8965
_cell_length_b 9.8965
_cell_length_c 3.8838
_cell_angle_alpha 90.00
_cell_angle_beta 90.00
_cell_angle_gamma 90.00
_space_group_name_H-M_alt 'I -4 2 d'
_space_group_IT_number 122
_space_group_name_Hall 'I -4 2bw'
loop_
_atom_site_label
_atom_site_type_symbol
_atom_site_fract_x
_atom_site_fract_y
_atom_site_fract_z
Ta1 Ta 0.0000 0.0000 0.0000
Br1 Br 0.0927 0.2500 0.1250
O1 O 0.0000 0.0000 0.5000
# Formation energy from raw total energies, eV/atom: -1.264
# Calculated total energy, eV per atom: -6.303

# TbTaBrO4 PBE optimized geometry
data_TbTaBrO4
_cell_length_a 12.5363
_cell_length_b 6.4775
_cell_length_c 6.9830
_cell_angle_alpha 90.00
_cell_angle_beta 104.88
_cell_angle_gamma 90.00
_space_group_name_H-M_alt 'C 1 2/m 1'
_space_group_IT_number 12
loop_
_space_group_symop_operation_xyz
'x,y,z'
'-x,-y,-z'
'-x,y,-z'
'x,-y,z'
'x+1/2,y+1/2,z'
'-x+1/2,-y+1/2,-z'
'-x+1/2,y+1/2,-z'
'x+1/2,-y+1/2,z'
loop_
_atom_site_label
_atom_site_type_symbol
_atom_site_fract_x
_atom_site_fract_y
_atom_site_fract_z
Tb1 Tb 0.2090 0.0000 0.3403
Ta1 Ta 0.1238 0.0000 0.7476
Br1 Br 0.0143 0.5000 0.1695
O1 O 0.0287 0.0000 0.3022
O2 O 0.1814 0.2193 0.6248
O3 O 0.1853 0.0000 0.0173
# Formation energy from raw total energies, eV/atom: -2.636
# Calculated total energy, eV per atom: -8.063

# TaTlBr2O PBE optimized geometry
data_TaTlBr2O
_cell_length_a 5.6129
_cell_length_b 5.6129
_cell_length_c 5.7338
_cell_angle_alpha 90.00
_cell_angle_beta 90.00
_cell_angle_gamma 90.00
_space_group_name_H-M_alt 'P 4/m m m'
_space_group_IT_number 123
_space_group_name_Hall '-P 4 2'
loop_
_atom_site_label
_atom_site_type_symbol
_atom_site_fract_x
_atom_site_fract_y
_atom_site_fract_z
Ta1 Ta 0.0000 0.0000 0.0000
Tl1 Tl 0.0000 0.0000 0.5000
Br1 Br 0.0000 0.5000 0.5000
O1 O 0.5000 0.5000 0.0000
# Formation energy from raw total energies, eV/atom: 1.528
# Calculated total energy, eV per atom: -2.976